The following is a DFT calculation (PBE) of crystalline LaMnSiBi at its relaxed geometry.

## Properties
- Uncorrected energy: -5.9321 eV per atom
- Formation energy without anion corrections: -82 meV per atom
- Space-group type: P3m1 (156)
- Density of states at the Fermi level: 3.0 states/eV per cell
- Energy above the lowest structure with this stoichiometry: 0.229 eV/atom

Structure (CIF):
```
data_LaMnSiBi
_chemical_formula_sum 'La1 Mn1 Si1 Bi1'
_space_group_name_H-M_alt 'P 1'
_space_group_IT_number 1
_cell_length_a 4.014
_cell_length_b 4.014
_cell_length_c 7.364
_cell_angle_alpha 90.00
_cell_angle_beta 90.00
_cell_angle_gamma 120.00
loop_
_space_group_symop_operation_xyz
'x,y,z'
loop_
_atom_site_label
_atom_site_type_symbol
_atom_site_fract_x
_atom_site_fract_y
_atom_site_fract_z
_atom_site_occupancy
Si1 Si 0.333 0.667 0.330 1
Mn1 Mn 0.000 0.000 0.331 1
Bi1 Bi 0.000 0.000 0.683 1
La1 La 0.667 0.333 0.045 1
```

The following is a DFT calculation (PBE) of crystalline AlSI at its relaxed geometry.

## Properties
- Uncorrected energy: -4.0357 eV per atom
- Formation energy without anion corrections: -896 meV per atom
- Space-group type: Pca2_1 (29)
- Density of states at the Fermi level: 0.0 states/eV per cell

Structure (CIF):
```
data_AlSI
_chemical_formula_sum 'Al4 S4 I4'
_space_group_name_H-M_alt 'P 1'
_space_group_IT_number 1
_cell_length_a 6.113
_cell_length_b 6.706
_cell_length_c 10.025
_cell_angle_alpha 90.00
_cell_angle_beta 90.00
_cell_angle_gamma 90.00
loop_
_space_group_symop_operation_xyz
'x,y,z'
loop_
_atom_site_label
_atom_site_type_symbol
_atom_site_fract_x
_atom_site_fract_y
_atom_site_fract_z
_atom_site_occupancy
Al1 Al 0.000 0.088 0.103 1
Al2 Al 0.500 0.912 0.897 1
Al3 Al 0.000 0.588 0.897 1
Al4 Al 0.500 0.412 0.103 1
S1 S 0.124 0.412 0.079 1
S2 S 0.624 0.588 0.921 1
S3 S 0.124 0.912 0.921 1
S4 S 0.624 0.088 0.079 1
I1 I 0.105 0.979 0.331 1
I2 I 0.605 0.021 0.669 1
I3 I 0.105 0.479 0.669 1
I4 I 0.605 0.521 0.331 1
```

The following is a DFT calculation (PBE) of crystalline Sr2VRh at its relaxed geometry.

## Properties
- Uncorrected energy: -4.4905 eV per atom
- ΔH_f (0 K): 1.87 eV/f.u.
- Space-group type: Fm-3m (225)
- Density of states at the Fermi level: 3.9 states/eV per cell
- Energy above the lowest structure with this stoichiometry: 0.153 eV/atom

Structure (CIF):
```
data_Sr2VRh
_chemical_formula_sum 'Sr2 V1 Rh1'
_space_group_name_H-M_alt 'P 1'
_space_group_IT_number 1
_cell_length_a 5.311
_cell_length_b 5.311
_cell_length_c 5.311
_cell_angle_alpha 60.00
_cell_angle_beta 60.00
_cell_angle_gamma 60.00
loop_
_space_group_symop_operation_xyz
'x,y,z'
loop_
_atom_site_label
_atom_site_type_symbol
_atom_site_fract_x
_atom_site_fract_y
_atom_site_fract_z
_atom_site_occupancy
Sr1 Sr 0.250 0.250 0.250 1
Sr2 Sr 0.750 0.750 0.750 1
Rh1 Rh 0.500 0.500 0.500 1
V1 V 0.000 0.000 0.000 1
```

The following is a DFT calculation (PBE) of crystalline AuSe3Br at its relaxed geometry.

## Properties
- Uncorrected energy: -1.9578 eV per atom
- Formation energy without anion corrections: 1123 meV per atom
- Space-group type: Pm-3m (221)
- Density of states at the Fermi level: 5.2 states/eV per cell
- Energy above the lowest structure with this stoichiometry: 0.417 eV/atom

Structure (CIF):
```
data_AuSe3Br
_chemical_formula_sum 'Au1 Se3 Br1'
_space_group_name_H-M_alt 'P 1'
_space_group_IT_number 1
_cell_length_a 5.171
_cell_length_b 5.171
_cell_length_c 5.171
_cell_angle_alpha 90.00
_cell_angle_beta 90.00
_cell_angle_gamma 90.00
loop_
_space_group_symop_operation_xyz
'x,y,z'
loop_
_atom_site_label
_atom_site_type_symbol
_atom_site_fract_x
_atom_site_fract_y
_atom_site_fract_z
_atom_site_occupancy
Au1 Au 0.500 0.500 0.500 1
Se1 Se 0.000 0.500 0.000 1
Se2 Se 0.000 0.000 0.500 1
Se3 Se 0.500 0.000 0.000 1
Br1 Br 0.000 0.000 0.000 1
```

The following is a DFT calculation (PBE) of crystalline SiSe2IBr at its relaxed geometry.

## Properties
- Uncorrected energy: -2.1341 eV per atom
- Formation energy without anion corrections: 989 meV per atom
- Space-group type: P4/mmm (123)
- Density of states at the Fermi level: 2.2 states/eV per cell
- Energy above the lowest structure with this stoichiometry: 0.679 eV/atom

Structure (CIF):
```
data_SiSe2IBr
_chemical_formula_sum 'Si1 Se2 I1 Br1'
_space_group_name_H-M_alt 'P 1'
_space_group_IT_number 1
_cell_length_a 5.426
_cell_length_b 5.426
_cell_length_c 5.585
_cell_angle_alpha 90.00
_cell_angle_beta 90.00
_cell_angle_gamma 90.00
loop_
_space_group_symop_operation_xyz
'x,y,z'
loop_
_atom_site_label
_atom_site_type_symbol
_atom_site_fract_x
_atom_site_fract_y
_atom_site_fract_z
_atom_site_occupancy
I1 I 0.000 0.000 0.000 1
Si1 Si 0.500 0.500 0.500 1
Se1 Se 0.000 0.500 0.000 1
Se2 Se 0.500 0.000 0.000 1
Br1 Br 0.000 0.000 0.500 1
```

The following is a DFT calculation (PBE) of crystalline LaAlSiIr at its relaxed geometry.

## Properties
- Uncorrected energy: -6.2862 eV per atom
- Formation energy without anion corrections: -548 meV per atom
- Space-group type: Imm2 (44)
- Density of states at the Fermi level: 1.7 states/eV per cell

Structure (CIF):
```
data_LaAlSiIr
_chemical_formula_sum 'La1 Al1 Si1 Ir1'
_space_group_name_H-M_alt 'P 1'
_space_group_IT_number 1
_cell_length_a 4.547
_cell_length_b 3.906
_cell_length_c 5.793
_cell_angle_alpha 109.70
_cell_angle_beta 113.11
_cell_angle_gamma 90.00
loop_
_space_group_symop_operation_xyz
'x,y,z'
loop_
_atom_site_label
_atom_site_type_symbol
_atom_site_fract_x
_atom_site_fract_y
_atom_site_fract_z
_atom_site_occupancy
La1 La 0.954 0.954 0.907 1
Al1 Al 0.598 0.598 0.195 1
Si1 Si 0.215 0.715 0.431 1
Ir1 Ir 0.349 0.349 0.697 1
```

The following is a DFT calculation (PBE) of crystalline YZrBr at its relaxed geometry.

## Properties
- Uncorrected energy: -5.9398 eV per atom
- Formation energy without anion corrections: -378 meV per atom
- Space-group type: Fmm2 (42)
- Density of states at the Fermi level: 2.0 states/eV per cell
- Energy above the lowest structure with this stoichiometry: 0.284 eV/atom

Structure (CIF):
```
data_YZrBr
_chemical_formula_sum 'Y1 Zr1 Br1'
_space_group_name_H-M_alt 'P 1'
_space_group_IT_number 1
_cell_length_a 7.216
_cell_length_b 7.200
_cell_length_c 3.366
_cell_angle_alpha 76.76
_cell_angle_beta 76.23
_cell_angle_gamma 27.01
loop_
_space_group_symop_operation_xyz
'x,y,z'
loop_
_atom_site_label
_atom_site_type_symbol
_atom_site_fract_x
_atom_site_fract_y
_atom_site_fract_z
_atom_site_occupancy
Y1 Y 0.330 0.330 0.670 1
Br1 Br 0.005 0.005 0.995 1
Zr1 Zr 0.665 0.665 0.335 1
```

The following is a DFT calculation (PBE) of crystalline Cu8Pd3Au3 at its relaxed geometry.

## Properties
- Uncorrected energy: -4.1105 eV per atom
- ΔH_f (0 K): 0.63 eV/f.u.
- Space-group type: Immm (71)
- Density of states at the Fermi level: 4.0 states/eV per cell

Structure (CIF):
```
data_Cu8Pd3Au3
_chemical_formula_sum 'Cu8 Pd3 Au3'
_space_group_name_H-M_alt 'P 1'
_space_group_IT_number 1
_cell_length_a 4.333
_cell_length_b 7.398
_cell_length_c 7.398
_cell_angle_alpha 67.75
_cell_angle_beta 72.97
_cell_angle_gamma 72.97
loop_
_space_group_symop_operation_xyz
'x,y,z'
loop_
_atom_site_label
_atom_site_type_symbol
_atom_site_fract_x
_atom_site_fract_y
_atom_site_fract_z
_atom_site_occupancy
Cu1 Cu 0.781 0.879 0.559 1
Cu2 Cu 0.219 0.121 0.441 1
Cu3 Cu 0.219 0.441 0.121 1
Cu4 Cu 0.781 0.559 0.879 1
Cu5 Cu 0.605 0.228 0.562 1
Cu6 Cu 0.395 0.772 0.438 1
Cu7 Cu 0.395 0.438 0.772 1
Cu8 Cu 0.605 0.562 0.228 1
Pd1 Pd 0.500 0.000 0.000 1
Pd2 Pd 0.798 0.202 0.202 1
Pd3 Pd 0.202 0.798 0.798 1
Au1 Au 0.000 0.500 0.500 1
Au2 Au 0.000 0.817 0.183 1
Au3 Au 0.000 0.183 0.817 1
```

- The lowest density of states at the Fermi level belongs to which entry?
  AlSI

Please write out number 1 again, unchanged.
The following is a DFT calculation (PBE) of crystalline LaMnSiBi at its relaxed geometry.

## Properties
- Uncorrected energy: -5.9321 eV per atom
- Formation energy without anion corrections: -82 meV per atom
- Space-group type: P3m1 (156)
- Density of states at the Fermi level: 3.0 states/eV per cell
- Energy above the lowest structure with this stoichiometry: 0.229 eV/atom

Structure (CIF):
```
data_LaMnSiBi
_chemical_formula_sum 'La1 Mn1 Si1 Bi1'
_space_group_name_H-M_alt 'P 1'
_space_group_IT_number 1
_cell_length_a 4.014
_cell_length_b 4.014
_cell_length_c 7.364
_cell_angle_alpha 90.00
_cell_angle_beta 90.00
_cell_angle_gamma 120.00
loop_
_space_group_symop_operation_xyz
'x,y,z'
loop_
_atom_site_label
_atom_site_type_symbol
_atom_site_fract_x
_atom_site_fract_y
_atom_site_fract_z
_atom_site_occupancy
Si1 Si 0.333 0.667 0.330 1
Mn1 Mn 0.000 0.000 0.331 1
Bi1 Bi 0.000 0.000 0.683 1
La1 La 0.667 0.333 0.045 1
```